Record 1
Computed, not measured: a geometry-optimized Mn2CuTc2 structure at the PBE level of DFT.

Lattice parameters (Å, degrees): 5.4292 5.4292 5.4292 137.11 137.11 62.28
Positions (direct):
Mn 0.1125 0.1125 0.0000
Mn 0.8875 0.8875 0.0000
Cu 0.5000 0.5000 0.0000
Tc 0.2500 0.7500 0.5000
Tc 0.7500 0.2500 0.5000

M_tot: 0.0 Bohr magnetons per cell
offset from the most stable computed form: 267 meV/atom
space group: I4/mmm, No. 139
V: 73.3 Å³ per cell
E_form: 0.52 eV per atom
electronic total energy: -40.6 eV for the cell shown

---

Record 2
Computed, not measured: a geometry-optimized MnCu2Tc structure at the PBE level of DFT.

Lattice parameters (Å, degrees): 2.5881 2.5881 7.8219 90.00 90.00 90.00
Positions (direct):
Mn 0.0000 0.0000 0.0000
Cu 0.5000 0.5000 0.2418
Cu 0.5000 0.5000 0.7582
Tc 0.0000 0.0000 0.5000

M_tot: 3.4 Bohr magnetons per cell
offset from the most stable computed form: 94 meV/atom
space group: P4/mmm, No. 123
V: 52.4 Å³ per cell
E_form: 0.25 eV per atom
electronic total energy: -26.7 eV for the cell shown

---

Record 3
Computed, not measured: a geometry-optimized MnCu2Tc structure at the PBE level of DFT.

Lattice parameters (Å, degrees): 4.1790 4.1790 4.1790 60.00 60.00 60.00
Positions (direct):
Mn 0.0000 0.0000 0.0000
Cu 0.5000 0.5000 0.5000
Cu 0.7500 0.7500 0.7500
Tc 0.2500 0.2500 0.2500

M_tot: 1.9 Bohr magnetons per cell
offset from the most stable computed form: 73 meV/atom
space group: F-43m, No. 216
V: 51.6 Å³ per cell
E_form: 0.23 eV per atom
electronic total energy: -26.8 eV for the cell shown

---

Record 4
Computed, not measured: a geometry-optimized MnCu3Tc structure at the PBE level of DFT.

Lattice parameters (Å, degrees): 4.3785 4.3785 4.3785 90.00 90.00 90.00
Positions (direct):
Mn 0.0000 0.0000 0.0000
Cu 0.0000 0.0000 0.5000
Cu 0.0000 0.5000 0.0000
Cu 0.5000 0.0000 0.0000
Tc 0.5000 0.5000 0.5000

M_tot: 6.8 Bohr magnetons per cell
offset from the most stable computed form: 0 meV/atom
space group: Pm-3m, No. 221
V: 83.9 Å³ per cell
E_form: 1.41 eV per atom
electronic total energy: -24.8 eV for the cell shown